Entry 1:
This record from the Alexandria database describes an optimized crystal structure of TbP6Pd12. The functional is PBE.

abc: 7.0142 7.0142 7.0142
angles: 103.96 103.96 103.96
Closest atoms and distances in Å follow each position.
Positions (direct):
Tb  0.0000  0.0000  0.0000  18 Pd 3.53-3.78, 6 P 3.63
P  0.6755  0.2396  0.2396  7 Pd 2.40-2.53
P  0.3245  0.7604  0.7604  7 Pd 2.40-2.53
P  0.7604  0.3245  0.7604  7 Pd 2.40-2.53
P  0.2396  0.2396  0.6755  7 Pd 2.40-2.53
P  0.7604  0.7604  0.3245  7 Pd 2.40-2.53
P  0.2396  0.6755  0.2396  7 Pd 2.40-2.53
Pd  0.1775  0.4423  0.4423  3 P 2.44-2.53
Pd  0.5000  0.1265  0.8735  4 P 2.40-2.43
Pd  0.8735  0.1265  0.5000  4 P 2.40-2.43
Pd  0.4423  0.4423  0.1775  3 P 2.44-2.53
Pd  0.5577  0.5577  0.8225  3 P 2.44-2.53
Pd  0.8225  0.5577  0.5577  3 P 2.44-2.53
Pd  0.1265  0.5000  0.8735  4 P 2.40-2.43
Pd  0.5000  0.8735  0.1265  4 P 2.40-2.43
Pd  0.8735  0.5000  0.1265  4 P 2.40-2.43
Pd  0.5577  0.8225  0.5577  3 P 2.44-2.53
Pd  0.1265  0.8735  0.5000  4 P 2.40-2.43
Pd  0.4423  0.1775  0.4423  3 P 2.44-2.53


Entry 2:
This record from the Alexandria database describes an optimized crystal structure of LuMgBiPd. The functional is PBE.

abc: 5.0358 5.0358 5.0358
angles: 60.00 60.00 60.00
Closest atoms and distances in Å follow each position.
Positions (direct):
Bi  0.5000  0.5000  0.5000  4 Lu 3.08, 4 Mg 3.08
Mg  0.7500  0.7500  0.7500  4 Bi 3.08, 4 Pd 3.08
Pd  0.0000  0.0000  0.0000  4 Mg 3.08, 4 Lu 3.08
Lu  0.2500  0.2500  0.2500  4 Bi 3.08, 4 Pd 3.08


Entry 3:
This record from the Alexandria database describes an optimized crystal structure of BaCaZn2Si2. The functional is PBE.

abc: 4.3188 4.3188 8.9476
angles: 90.00 90.00 120.00
Closest atoms and distances in Å follow each position.
Positions (direct):
Zn  0.3333  0.6667  0.7181  3 Si 2.49
Zn  0.6667  0.3333  0.2819  3 Si 2.49
Ca  0.0000  0.0000  0.5000  6 Zn 3.17, 6 Si 3.21
Ba  0.0000  0.0000  0.0000  6 Si 3.50, 6 Zn 3.55
Si  0.3333  0.6667  0.2740  3 Zn 2.49
Si  0.6667  0.3333  0.7260  3 Zn 2.49

uncorrected formation energy	-0.41	eV per atom


Entry 4:
This record from the Alexandria database describes an optimized crystal structure of Pu2NiSn8. The functional is PBE.

abc: 4.6489 4.6489 12.4667
angles: 90.00 90.00 90.00
Closest atoms and distances in Å follow each position.
Positions (direct):
Sn  0.5000  0.0000  0.8793  2 Ni 2.77, 1 Sn 3.01
Sn  0.0000  0.5000  0.8793  2 Ni 2.77, 1 Sn 3.01
Sn  0.5000  0.0000  0.1207  2 Ni 2.77, 1 Sn 3.01
Sn  0.0000  0.5000  0.5000  8 Sn 3.29-3.31, 4 Pu 3.33
Sn  0.5000  0.5000  0.6886  4 Pu 3.29, 8 Sn 3.31-3.32
Sn  0.5000  0.0000  0.5000  8 Sn 3.29-3.31, 4 Pu 3.33
Sn  0.0000  0.5000  0.1207  2 Ni 2.77, 1 Sn 3.01
Sn  0.5000  0.5000  0.3114  4 Pu 3.29, 8 Sn 3.31-3.32
Pu  0.0000  0.0000  0.3087  12 Sn 3.29-3.33
Pu  0.0000  0.0000  0.6913  12 Sn 3.29-3.33
Ni  0.0000  0.0000  0.0000  8 Sn 2.77


Entry 5:
This record from the Alexandria database describes an optimized crystal structure of TaBeCr2. The functional is PBE.

abc: 3.0563 3.0562 5.3945
angles: 90.00 90.00 90.00
Closest atoms and distances in Å follow each position.
Positions (direct):
Ta  0.5000  0.5000  0.2500  2 Be 2.70, 8 Cr 2.71
Cr  0.0000  0.0000  0.9462  1 Cr 2.12
Cr  0.0000  0.0000  0.5538  1 Cr 2.12
Be  0.5000  0.5000  0.7500  8 Cr 2.41


Entry 6:
This record from the Alexandria database describes an optimized crystal structure of Zn2Si2Rh3. The functional is PBE.

abc: 4.1088 4.1155 7.3373
angles: 90.17 106.40 120.06
Closest atoms and distances in Å follow each position.
Positions (direct):
Rh  0.4787  0.7399  0.2165  4 Si 2.41-2.56, 1 Zn 2.63
Rh  0.5213  0.2601  0.7835  4 Si 2.41-2.56, 1 Zn 2.63
Rh  0.0000  0.0000  0.0000  6 Si 2.59-2.60, 2 Zn 2.80, 6 Rh 2.81
Si  0.2305  0.6146  0.8472  7 Rh 2.41-2.60
Si  0.7695  0.3854  0.1528  7 Rh 2.41-2.60
Zn  0.7285  0.8636  0.5964  5 Rh 2.63-2.80, 3 Zn 2.71-2.74, 3 Si 2.94
Zn  0.2715  0.1364  0.4036  5 Rh 2.63-2.80, 3 Zn 2.71-2.74, 3 Si 2.94

uncorrected formation energy	-0.58	eV per atom


Entry 7:
This record from the Alexandria database describes an optimized crystal structure of BaIn2P. The functional is PBE.

abc: 5.3519 5.3519 6.4209
angles: 70.88 70.88 45.37
Closest atoms and distances in Å follow each position.
Positions (direct):
P  0.4970  0.4970  0.6069  5 In 2.87-3.05
In  0.0128  0.0128  0.9077  2 P 2.87, 3 In 3.03-3.17
In  0.7715  0.7715  0.7200  3 P 2.93-3.05, 3 In 3.03-3.17
Ba  0.2188  0.2188  0.2654  2 P 3.23, 1 In 3.57


Entry 8:
This record from the Alexandria database describes an optimized crystal structure of Cs2InGaCl4. The functional is PBE.

abc: 9.4380 9.4380 9.4575
angles: 120.06 120.06 89.99
Closest atoms and distances in Å follow each position.
Positions (direct):
Cl  0.2431  0.2567  0.0239  2 Ga 3.18, 1 In 3.25, 3 Cs 3.43-3.50
Cl  0.2433  0.2569  0.4761  2 Ga 3.18, 1 In 3.25, 3 Cs 3.43-3.50
Cl  0.7569  0.7433  0.9761  2 Ga 3.18, 1 In 3.25, 3 Cs 3.43-3.50
Cl  0.2479  0.7223  0.4852  1 Ga 3.17, 2 In 3.24-3.25, 3 Cs 3.44-3.51
Cl  0.7521  0.2777  0.5148  1 Ga 3.17, 2 In 3.24-3.25, 3 Cs 3.44-3.51
Cl  0.7777  0.2521  0.0148  1 Ga 3.17, 2 In 3.24-3.25, 3 Cs 3.44-3.51
Cl  0.2223  0.7479  0.9852  1 Ga 3.17, 2 In 3.24-3.25, 3 Cs 3.44-3.51
Cl  0.7567  0.7431  0.5239  2 Ga 3.18, 1 In 3.25, 3 Cs 3.43-3.50
Cs  0.0000  0.0000  0.5000  6 Cl 3.50-3.51
Cs  0.5000  0.0000  0.0000  6 Cl 3.43-3.44
Cs  0.5000  0.0000  0.5000  6 Cl 3.43-3.44
Cs  0.5000  0.5000  0.0000  6 Cl 3.50-3.51
In  0.0000  0.5000  0.5000  6 Cl 3.24-3.25
In  0.0000  0.5000  0.0000  6 Cl 3.24-3.25
Ga  0.5000  0.5000  0.5000  6 Cl 3.17-3.18
Ga  0.0000  0.0000  0.0000  6 Cl 3.17-3.18

uncorrected formation energy	-1.33	eV per atom


Entry 9:
This record from the Alexandria database describes an optimized crystal structure of Y2InPb9. The functional is PBE.

abc: 4.7987 4.7987 15.4911
angles: 90.00 90.00 90.00
Closest atoms and distances in Å follow each position.
Positions (direct):
Pb  0.0000  0.5000  0.8296  8 Pb 3.39-3.57, 2 In 3.57, 2 Y 3.65
Pb  0.5000  0.5000  0.3316  4 Y 3.40, 8 Pb 3.46-3.54
Pb  0.5000  0.0000  0.1704  8 Pb 3.39-3.57, 2 In 3.57, 2 Y 3.65
Pb  0.0000  0.5000  0.1704  8 Pb 3.39-3.57, 2 In 3.57, 2 Y 3.65
Pb  0.5000  0.0000  0.8296  8 Pb 3.39-3.57, 2 In 3.57, 2 Y 3.65
Pb  0.0000  0.5000  0.5000  4 Y 3.36, 8 Pb 3.39-3.54
Pb  0.5000  0.5000  0.6684  4 Y 3.40, 8 Pb 3.46-3.54
Pb  0.5000  0.0000  0.5000  4 Y 3.36, 8 Pb 3.39-3.54
Pb  0.5000  0.5000  0.0000  4 In 3.39, 8 Pb 3.57
In  0.0000  0.0000  0.0000  12 Pb 3.39-3.57
Y  0.0000  0.0000  0.6519  12 Pb 3.36-3.65
Y  0.0000  0.0000  0.3481  12 Pb 3.36-3.65


Entry 10:
This record from the Alexandria database describes an optimized crystal structure of CdC4N6. The functional is PBE.

abc: 6.6545 7.7244 7.7912
angles: 90.00 90.00 90.00
Closest atoms and distances in Å follow each position.
Positions (direct):
N  0.3024  0.3892  0.7150  1 C 1.17
N  0.8024  0.1108  0.7850  1 C 1.17
N  0.3024  0.3892  0.2850  1 C 1.17
N  0.2972  0.7760  0.5000  2 C 1.31
N  0.6976  0.6108  0.7150  1 C 1.17
N  0.7972  0.7240  0.0000  2 C 1.31
N  0.6976  0.6108  0.2850  1 C 1.17
N  0.8024  0.1108  0.2150  1 C 1.17
N  0.1976  0.8892  0.7850  1 C 1.17
N  0.1976  0.8892  0.2150  1 C 1.17
N  0.2028  0.2760  0.0000  2 C 1.31
N  0.7028  0.2240  0.5000  2 C 1.31
C  0.7392  0.6594  0.1466  2 N 1.17-1.31
C  0.2392  0.8406  0.3534  2 N 1.17-1.31
C  0.7608  0.1594  0.6466  2 N 1.17-1.31
C  0.2392  0.8406  0.6466  2 N 1.17-1.31
C  0.2608  0.3406  0.8534  2 N 1.17-1.31
C  0.2608  0.3406  0.1466  2 N 1.17-1.31
C  0.7392  0.6594  0.8534  2 N 1.17-1.31
C  0.7608  0.1594  0.3534  2 N 1.17-1.31
Cd  0.0000  0.0000  0.0000  6 N 2.30-2.52
Cd  0.5000  0.5000  0.5000  6 N 2.30-2.52

uncorrected formation energy	0.30	eV per atom


Entry 11:
This record from the Alexandria database describes an optimized crystal structure of Fe2Pt5. The functional is PBE.

abc: 4.7543 6.6216 7.1209
angles: 93.29 90.00 111.04
Closest atoms and distances in Å follow each position.
Positions (direct):
Fe  0.5978  0.8477  0.8951  10 Pt 2.66-2.87, 2 Fe 2.86-2.88
Fe  0.7501  0.1523  0.6049  10 Pt 2.66-2.87, 2 Fe 2.86-2.88
Fe  0.4022  0.1523  0.1049  10 Pt 2.66-2.87, 2 Fe 2.86-2.88
Fe  0.2499  0.8477  0.3951  10 Pt 2.66-2.87, 2 Fe 2.86-2.88
Pt  0.8049  0.0000  0.2500  6 Fe 2.69-2.87, 6 Pt 2.72-2.77
Pt  0.6915  0.7371  0.5428  4 Fe 2.66-2.72, 7 Pt 2.72-2.91
Pt  0.4547  0.5725  0.1793  3 Fe 2.72-2.75, 9 Pt 2.74-2.91
Pt  0.1178  0.5725  0.6793  3 Fe 2.72-2.75, 9 Pt 2.74-2.91
Pt  0.9544  0.2629  0.9572  4 Fe 2.66-2.72, 7 Pt 2.72-2.91
Pt  0.3085  0.2629  0.4572  4 Fe 2.66-2.72, 7 Pt 2.72-2.91
Pt  0.8822  0.4275  0.3207  3 Fe 2.72-2.75, 9 Pt 2.74-2.91
Pt  0.1951  0.0000  0.7500  6 Fe 2.69-2.87, 6 Pt 2.72-2.77
Pt  0.5453  0.4275  0.8207  3 Fe 2.72-2.75, 9 Pt 2.74-2.91
Pt  0.0456  0.7371  0.0428  4 Fe 2.66-2.72, 7 Pt 2.72-2.91


Entry 12:
This record from the Alexandria database describes an optimized crystal structure of NdHo3Al8. The functional is PBE.

abc: 5.5721 5.5721 9.7002
angles: 73.31 73.31 60.00
Closest atoms and distances in Å follow each position.
Positions (direct):
Ho  0.0001  0.0001  0.9997  12 Al 3.25-3.27, 3 Ho 3.42, 1 Nd 3.44
Ho  0.3755  0.3755  0.8736  12 Al 3.25-3.27, 4 Ho 3.40-3.42
Ho  0.4993  0.4993  0.5020  12 Al 3.27-3.32, 1 Ho 3.40, 3 Nd 3.42
Al  0.9370  0.4357  0.6904  6 Al 2.77-2.81
Al  0.4357  0.9370  0.6904  6 Al 2.77-2.81
Al  0.4383  0.4383  0.1844  6 Al 2.78-2.83
Al  0.6878  0.6878  0.9367  6 Al 2.77-2.78
Al  0.1871  0.1871  0.4386  6 Al 2.81-2.83
Al  0.9390  0.4383  0.1844  6 Al 2.78-2.83
Al  0.9370  0.9370  0.6904  6 Al 2.77-2.81
Al  0.4383  0.9390  0.1844  6 Al 2.78-2.83
Nd  0.8749  0.8749  0.3752  12 Al 3.27-3.30, 4 Ho 3.42-3.44

energy above the most stable polymorph in this dataset	0	meV/atom


Number 1: spin magnetization 0.00 μB per formula unit, total energy -5.680 eV per atom. Number 2: spin magnetization 0.00 μB per formula unit, total energy -4.302 eV per atom. Number 3: spin magnetization 0.00 μB per formula unit, total energy -3.298 eV per atom. Number 4: spin magnetization 11.10 μB per formula unit, total energy -6.301 eV per atom. Number 5: spin magnetization 0.00 μB per formula unit, total energy -8.668 eV per atom. Number 6: spin magnetization 0.00 μB per formula unit, total energy -5.642 eV per atom. Number 7: spin magnetization 0.00 μB per formula unit, total energy -3.546 eV per atom. Number 8: spin magnetization 0.00 μB per formula unit, total energy -3.186 eV per atom. Number 9: spin magnetization 0.00 μB per formula unit, total energy -4.273 eV per atom. Number 10: spin magnetization 0.00 μB per formula unit, total energy -7.676 eV per atom. Number 11: spin magnetization 8.15 μB per formula unit, total energy -6.907 eV per atom. Number 12: spin magnetization 0.00 μB per formula unit, total energy -4.542 eV per atom.